[1]
## Sr3Al2Ge2 (PBE)

Data for a relaxed structure of Sr3Al2Ge2.

Geometry as CIF:
```
data_Sr3Al2Ge2
_symmetry_space_group_name_H-M 'C 1 2/m 1'
_symmetry_Int_Tables_number 12
_cell_length_a 11.807
_cell_length_b 4.652
_cell_length_c 8.214
_cell_angle_alpha 90.00
_cell_angle_beta 115.73
_cell_angle_gamma 90.00
loop_
_symmetry_equiv_pos_as_xyz
'x,y,z'
'-x,-y,-z'
'-x,y,-z'
'x,-y,z'
'x+1/2,y+1/2,z'
'-x+1/2,-y+1/2,-z'
'-x+1/2,y+1/2,-z'
'x+1/2,-y+1/2,z'
loop_
_atom_site_label
_atom_site_type_symbol
_atom_site_fract_x
_atom_site_fract_y
_atom_site_fract_z
Sr1 Sr 0.000 0.000 0.000
Sr2 Sr 0.179 0.000 0.624
Al1 Al 0.192 0.500 0.930
Ge1 Ge 0.021 0.500 0.345
```

=====

[2]
## TbCoGe2 (PBE)

Data for a relaxed structure of TbCoGe2.

Geometry as CIF:
```
data_TbCoGe2
_symmetry_space_group_name_H-M 'I m m m'
_symmetry_Int_Tables_number 71
_symmetry_space_group_name_Hall '-I 2 2'
_cell_length_a 4.159
_cell_length_b 8.675
_cell_length_c 15.729
_cell_angle_alpha 90.00
_cell_angle_beta 90.00
_cell_angle_gamma 90.00
loop_
_atom_site_label
_atom_site_type_symbol
_atom_site_fract_x
_atom_site_fract_y
_atom_site_fract_z
Tb1 Tb 0.000 0.000 0.208
Tb2 Tb 0.000 0.239 0.000
Co1 Co 0.000 0.249 0.354
Ge1 Ge 0.000 0.000 0.416
Ge2 Ge 0.000 0.340 0.197
Ge3 Ge 0.000 0.500 0.421
```

=====

Number 1: Fermi-level density of states 0.381 states/eV per atom, formation enthalpy at 0 K -3.03 eV per formula unit, ρ 3.78 g/cm³. Number 2: Fermi-level density of states 0.516 states/eV per atom, formation enthalpy at 0 K -2.60 eV per formula unit, ρ 8.50 g/cm³.